Entry 1:
First-principles (PBE-GGA) data for a relaxed LiCa2Au crystal, as listed in Alexandria. Values from VASP.

## Properties
ΔH_f (0 K)   -0.22 eV/atom
Space group   F-43m

Cell and atoms, written as Quantum ESPRESSO input:
```
&SYSTEM
  ibrav = 0, nat = 4, ntyp = 3
/
ATOMIC_SPECIES
Au 196.97 Au.upf
Ca 40.08 Ca.upf
Li 6.94 Li.upf
CELL_PARAMETERS angstrom
5.1590 0.0000 0.0000
2.5795 4.4678 0.0000
2.5795 1.4893 4.2123
ATOMIC_POSITIONS crystal
Au 0.5000 0.5000 0.5000
Ca 0.0000 0.0000 0.0000
Ca 0.2500 0.2500 0.2500
Li 0.7500 0.7500 0.7500
```


Entry 2:
First-principles (PBE-GGA) data for a relaxed Bi2PPb2 crystal, as listed in Alexandria. Values from VASP.

## Properties
ΔH_f (0 K)   0.30 eV/atom
Space group   P4/mbm

Cell and atoms, written as Quantum ESPRESSO input:
```
&SYSTEM
  ibrav = 0, nat = 10, ntyp = 3
/
ATOMIC_SPECIES
P 30.97 P.upf
Bi 208.98 Bi.upf
Pb 207.20 Pb.upf
CELL_PARAMETERS angstrom
-7.5759 0.4301 0.9409
-0.5021 -7.6088 -0.5646
0.6224 -0.4274 5.2068
ATOMIC_POSITIONS crystal
P 0.0000 0.0000 0.0000
Bi 0.8490 0.6510 0.0000
Bi 0.6510 0.1510 0.0000
Bi 0.3490 0.8490 0.0000
Bi 0.1510 0.3490 0.0000
Pb 0.8336 0.3336 0.5000
Pb 0.1664 0.6664 0.5000
Pb 0.3336 0.1664 0.5000
Pb 0.6664 0.8336 0.5000
P 0.5000 0.5000 0.0000
```


Number 1: total magnetic moment 0.0000 μB/atom. Number 2: total magnetic moment 0.0000 μB/atom.